# La3TmZr2N6

An optimized crystal structure of La3TmZr2N6 (PBE-GGA, the Alexandria database).

```
La3TmZr2N6
1.0
2.9935 -5.1838 0.0000
2.9935 5.1838 0.0000
-1.9917 0.0000 5.8704
La Tm Zr N
3 1 2 6
direct
0.0000 0.0000 0.0000 La
0.3337 0.6663 0.0000 La
0.6663 0.3337 0.0000 La
0.5000 0.5000 0.5000 Tm
0.1665 0.8335 0.5000 Zr
0.8335 0.1665 0.5000 Zr
0.0850 0.4282 0.2848 N
0.2274 0.2274 0.7131 N
0.4282 0.0850 0.2848 N
0.5718 0.9150 0.7152 N
0.7726 0.7726 0.2869 N
0.9150 0.5718 0.7152 N
```

## Properties
- Formation energy without anion corrections: -1.536 eV per atom
- Electronic total energy: -104.74 eV/cell
- SG: C2/m, No. 12

# Zn2InTe2

An optimized crystal structure of Zn2InTe2 (PBE-GGA, the Alexandria database).

```
Zn2InTe2
1.0
5.4982 0.0000 0.0000
0.0000 5.4982 0.0000
0.0000 0.0000 8.6292
Zn In Te
4 2 4
direct
0.0000 0.0000 0.1476 Zn
0.0000 0.0000 0.8524 Zn
0.5000 0.5000 0.3524 Zn
0.5000 0.5000 0.6476 Zn
0.0000 0.0000 0.5000 In
0.5000 0.5000 0.0000 In
0.0000 0.5000 0.2500 Te
0.0000 0.5000 0.7500 Te
0.5000 0.0000 0.2500 Te
0.5000 0.0000 0.7500 Te
```

## Properties
- Formation energy without anion corrections: -0.035 eV per atom
- Electronic total energy: -23.49 eV/cell
- SG: I4/mmm, No. 139
- Energy relative to the lowest polymorph listed for this composition: 0.0 kJ per mole of atoms

# Dy2O3

An optimized crystal structure of Dy2O3 (PBE-GGA, the Alexandria database).

```
Dy2O3
1.0
7.0346 -1.7539 0.0000
7.0346 1.7539 0.0000
-1.5528 0.0000 8.5214
Dy O
6 9
direct
0.0324 0.0324 0.3134 Dy
0.3087 0.3087 0.3627 Dy
0.3651 0.3651 0.0121 Dy
0.6349 0.6349 0.9879 Dy
0.6913 0.6913 0.6373 Dy
0.9676 0.9676 0.6866 Dy
0.1278 0.1278 0.7819 O
0.1748 0.1748 0.4698 O
0.2061 0.2061 0.1231 O
0.4709 0.4709 0.8432 O
0.5000 0.5000 0.5000 O
0.5291 0.5291 0.1568 O
0.7939 0.7939 0.8769 O
0.8252 0.8252 0.5302 O
0.8722 0.8722 0.2181 O
```

## Properties
- Formation energy without anion corrections: -3.549 eV per atom
- Electronic total energy: -125.48 eV/cell
- SG: C2/m, No. 12

# Rb4TaSe5

An optimized crystal structure of Rb4TaSe5 (PBE-GGA, the Alexandria database).

```
Rb4TaSe5
1.0
-5.2409 5.2409 3.4958
5.2409 -5.2409 3.4958
5.2409 5.2409 -3.4958
Rb Ta Se
4 1 5
direct
0.0937 0.2979 0.3916 Rb
0.2979 0.9063 0.2043 Rb
0.7021 0.0937 0.7957 Rb
0.9063 0.7021 0.6084 Rb
0.5837 0.5837 0.0000 Ta
0.2691 0.5656 0.8472 Se
0.4219 0.2691 0.7035 Se
0.5656 0.7184 0.2965 Se
0.7184 0.4219 0.1528 Se
0.9277 0.9277 0.0000 Se
```

## Properties
- Formation energy without anion corrections: -0.988 eV per atom
- Electronic total energy: -43.02 eV/cell
- SG: I4, No. 79